[1]
The following is a PBE-GGA calculation of a relaxed structure of GaCu5Pd6, from Alexandria via LeMat-Bulk.

Calculated values
Its space-group type is P2/m, No. 10. For the total energy, the calculation gives -57.99 eV/f.u.

Cell and atoms, written as POSCAR:
```
GaCu5Pd6
1.0
4.276 0.000 0.000
0.000 6.064 0.000
-2.132 0.000 6.415
Ga Cu Pd
1 5 6
Direct
0.000 0.000 0.000
0.000 0.500 0.000
0.328 0.000 0.658
0.332 0.500 0.666
0.668 0.500 0.334
0.672 0.000 0.342
0.165 0.250 0.329
0.165 0.750 0.329
0.500 0.246 0.000
0.500 0.754 0.000
0.835 0.250 0.671
0.835 0.750 0.671
```

[2]
The following is a PBE-GGA calculation of a relaxed structure of InMoP2S, from Alexandria via LeMat-Bulk.

Calculated values
Its space-group type is P4/mmm, No. 123. The energy above the lowest structure with this stoichiometry is 1247 meV per atom. The raw formation energy is 1.4631 eV per atom.

Cell and atoms, written as POSCAR:
```
InMoP2S
1.0
4.930 0.000 0.000
0.000 4.930 0.000
0.000 0.000 4.986
In Mo P S
1 1 2 1
Direct
0.000 0.000 0.000
0.500 0.500 0.500
0.000 0.500 0.000
0.500 0.000 0.000
0.000 0.000 0.500
```

[3]
The following is a PBE-GGA calculation of a relaxed structure of TcPPdO2, from Alexandria via LeMat-Bulk.

Calculated values
Its space-group type is P4/mmm, No. 123. The energy above the lowest structure with this stoichiometry is 1152 meV per atom. The raw formation energy is 0.5816 eV per atom.

Cell and atoms, written as POSCAR:
```
TcPPdO2
1.0
3.866 0.000 0.000
0.000 3.866 0.000
0.000 0.000 4.930
Tc P Pd O
1 1 1 2
Direct
0.000 0.000 0.000
0.500 0.500 0.000
0.500 0.500 0.500
0.000 0.500 0.500
0.500 0.000 0.500
```